First-principles (GGA-PBEsol) data for a relaxed LiCdHg2 crystal, as listed in Alexandria via LeMat-Bulk.

Crystal system   trigonal
Total moment   0.00 μB/f.u.
Uncorrected energy   -5.0 eV/cell

Unit cell a=3.218 b=3.218 c=9.430 alpha=80.18 beta=80.18 gamma=60.00
Fractional positions:
Cd: 0.000 0.000 0.000
Hg: 0.243 0.243 0.272
Hg: 0.757 0.757 0.728
Li: 0.500 0.500 0.500

First-principles (GGA-PBEsol) data for a relaxed LiCdHg crystal, as listed in Alexandria via LeMat-Bulk.

Distance to the lowest polymorph of the same formula   0.00 kcal/mol of atoms
Crystal system   orthorhombic
Total moment   0.00 μB/f.u.
Uncorrected energy   -4.6 eV/cell

Unit cell a=3.569 b=3.463 c=5.185 alpha=109.51 beta=110.13 gamma=90.00
Fractional positions:
Cd: 0.995 0.995 0.989
Hg: 0.676 0.676 0.353
Li: 0.329 0.329 0.658

First-principles (GGA-PBEsol) data for a relaxed LiCd2Hg crystal, as listed in Alexandria via LeMat-Bulk.

Crystal system   orthorhombic
Total moment   0.00 μB/f.u.
Uncorrected energy   -5.7 eV/cell

Unit cell a=3.176 b=3.895 c=6.247 alpha=90.00 beta=90.00 gamma=90.00
Fractional positions:
Cd: 0.000 0.000 0.988
Cd: 0.500 0.500 0.248
Hg: 0.000 0.000 0.524
Li: 0.500 0.500 0.740

First-principles (GGA-PBEsol) data for a relaxed Li2CdHg crystal, as listed in Alexandria via LeMat-Bulk.

Distance to the lowest polymorph of the same formula   0.09 kcal/mol of atoms
Crystal system   cubic
Total moment   0.00 μB/f.u.
Uncorrected energy   -7.1 eV/cell

Unit cell a=4.661 b=4.661 c=4.661 alpha=60.00 beta=60.00 gamma=60.00
Fractional positions:
Cd: 0.500 0.500 0.500
Hg: 0.750 0.750 0.750
Li: 0.000 0.000 0.000
Li: 0.250 0.250 0.250

First-principles (GGA-PBEsol) data for a relaxed Li2CdHg crystal, as listed in Alexandria via LeMat-Bulk.

Distance to the lowest polymorph of the same formula   1.89 kcal/mol of atoms
Crystal system   tetragonal
Total moment   0.00 μB/f.u.
Uncorrected energy   -6.8 eV/cell

Unit cell a=3.350 b=3.350 c=6.417 alpha=90.00 beta=90.00 gamma=90.00
Fractional positions:
Cd: 0.000 0.000 0.478
Hg: 0.500 0.500 0.784
Li: 0.000 0.000 0.994
Li: 0.500 0.500 0.245

First-principles (GGA-PBEsol) data for a relaxed LiCdHg2 crystal, as listed in Alexandria via LeMat-Bulk.

Crystal system   orthorhombic
Total moment   0.00 μB/f.u.
Uncorrected energy   -5.2 eV/cell

Unit cell a=3.293 b=4.721 c=5.159 alpha=90.00 beta=90.00 gamma=90.00
Fractional positions:
Cd: 0.500 0.500 0.203
Hg: 0.000 0.000 0.047
Hg: 0.000 0.500 0.684
Li: 0.500 0.000 0.566

First-principles (GGA-PBEsol) data for a relaxed LiCdHg2 crystal, as listed in Alexandria via LeMat-Bulk.

Crystal system   tetragonal
Total moment   0.00 μB/f.u.
Uncorrected energy   -5.2 eV/cell

Unit cell a=3.601 b=3.601 c=6.133 alpha=90.00 beta=90.00 gamma=90.00
Fractional positions:
Cd: 0.500 0.500 0.743
Hg: 0.000 0.000 0.993
Hg: 0.500 0.500 0.276
Li: 0.000 0.000 0.488

First-principles (GGA-PBEsol) data for a relaxed LiCdHg2 crystal, as listed in Alexandria via LeMat-Bulk.

Crystal system   tetragonal
Total moment   0.00 μB/f.u.
Uncorrected energy   -5.2 eV/cell

Unit cell a=3.816 b=4.579 c=4.579 alpha=90.01 beta=90.00 gamma=90.00
Fractional positions:
Cd: 0.500 0.500 0.500
Hg: 0.000 0.500 0.000
Hg: 0.000 0.000 0.500
Li: 0.500 0.000 0.000

First-principles (GGA-PBEsol) data for a relaxed LiCdHg2 crystal, as listed in Alexandria via LeMat-Bulk.

Crystal system   tetragonal
Total moment   0.00 μB/f.u.
Uncorrected energy   -5.3 eV/cell

Unit cell a=3.340 b=3.340 c=6.998 alpha=90.00 beta=90.00 gamma=90.00
Fractional positions:
Cd: 0.500 0.500 0.500
Hg: 0.000 0.000 0.776
Hg: 0.000 0.000 0.224
Li: 0.500 0.500 0.000

First-principles (GGA-PBEsol) data for a relaxed LiCd2Hg crystal, as listed in Alexandria via LeMat-Bulk.

Crystal system   monoclinic
Total moment   0.00 μB/f.u.
Uncorrected energy   -5.6 eV/cell

Unit cell a=2.999 b=5.183 c=5.945 alpha=115.28 beta=103.70 gamma=92.02
Fractional positions:
Cd: 0.000 0.000 0.500
Cd: 0.500 0.500 0.500
Hg: 0.500 0.000 0.000
Li: 0.000 0.500 0.000

First-principles (GGA-PBEsol) data for a relaxed LiCd2Hg crystal, as listed in Alexandria via LeMat-Bulk.

Crystal system   orthorhombic
Total moment   0.00 μB/f.u.
Uncorrected energy   -5.5 eV/cell

Unit cell a=3.333 b=5.076 c=5.076 alpha=109.60 beta=90.00 gamma=90.00
Fractional positions:
Cd: 0.000 0.500 0.000
Cd: 0.000 0.000 0.500
Hg: 0.500 0.000 0.000
Li: 0.500 0.500 0.500

First-principles (GGA-PBEsol) data for a relaxed LiCd2Hg crystal, as listed in Alexandria via LeMat-Bulk.

Crystal system   monoclinic
Total moment   0.00 μB/f.u.
Uncorrected energy   -5.6 eV/cell

Unit cell a=3.217 b=5.067 c=5.248 alpha=99.74 beta=90.00 gamma=108.51
Fractional positions:
Cd: 0.002 0.004 0.002
Cd: 0.250 0.501 0.757
Hg: 0.495 0.991 0.482
Li: 0.752 0.504 0.260

Number 1: formation enthalpy at 0 K -0.1822 eV per atom. Number 2: formation enthalpy at 0 K -0.2905 eV per atom. Number 3: formation enthalpy at 0 K -0.2031 eV per atom. Number 4: formation enthalpy at 0 K -0.3431 eV per atom. Number 5: formation enthalpy at 0 K -0.2649 eV per atom. Number 6: formation enthalpy at 0 K -0.2252 eV per atom. Number 7: formation enthalpy at 0 K -0.2153 eV per atom. Number 8: formation enthalpy at 0 K -0.2367 eV per atom. Number 9: formation enthalpy at 0 K -0.2497 eV per atom. Number 10: formation enthalpy at 0 K -0.1618 eV per atom. Number 11: formation enthalpy at 0 K -0.1502 eV per atom. Number 12: formation enthalpy at 0 K -0.1723 eV per atom.